(1)
VASP calculation (PBE) on crystalline ZrInCu3S4 at its relaxed geometry.

Values from the calculation:
Offset from the most stable computed form = 0.00 eV/f.u.
Space group = P2_1/m, No. 11

Unit cell a=5.7683 b=7.2395 c=9.4384 alpha=90.00 beta=103.35 gamma=90.00
With the nearest neighbours (Å) after each atom.
Fractional coordinates of all 18 atoms:
1 Zr 0.1256 0.2500 0.2930  4 S 2.41-2.47
2 Zr 0.8744 0.7500 0.7070  4 S 2.41-2.47
3 In 0.3053 0.2500 0.8841  4 S 3.04-3.26
4 In 0.6947 0.7500 0.1159  4 S 3.04-3.26
5 Cu 0.2823 0.5486 0.5177  4 S 2.34-2.59, 1 Cu 2.62
6 Cu 0.2823 0.9514 0.5177  4 S 2.34-2.59, 1 Cu 2.62
7 Cu 0.4071 0.7500 0.7533  3 S 2.23-2.31
8 Cu 0.5929 0.2500 0.2467  3 S 2.23-2.31
9 Cu 0.7177 0.0486 0.4823  4 S 2.34-2.59, 1 Cu 2.62
10 Cu 0.7177 0.4514 0.4823  4 S 2.34-2.59, 1 Cu 2.62
11 S 0.0443 0.2500 0.5383  4 Cu 2.34-2.59, 1 Zr 2.47
12 S 0.1940 0.7500 0.9226  1 Cu 2.23, 1 Zr 2.41
13 S 0.3926 0.5128 0.2891  3 Cu 2.31-2.40, 1 Zr 2.45
14 S 0.3926 0.9872 0.2891  3 Cu 2.31-2.40, 1 Zr 2.45
15 S 0.6074 0.0128 0.7109  3 Cu 2.31-2.40, 1 Zr 2.45
16 S 0.6074 0.4872 0.7109  3 Cu 2.31-2.40, 1 Zr 2.45
17 S 0.8060 0.2500 0.0774  1 Cu 2.23, 1 Zr 2.41
18 S 0.9557 0.7500 0.4617  4 Cu 2.34-2.59, 1 Zr 2.47

***

(2)
VASP calculation (PBE) on crystalline In2CuSb at its relaxed geometry.

Values from the calculation:
Total DFT energy (no corrections) = -3.092 eV per atom
Space group = F-43m, No. 216

Unit cell a=5.1131 b=5.1131 c=5.1131 alpha=60.00 beta=60.00 gamma=60.00
With the nearest neighbours (Å) after each atom.
Fractional coordinates of all 4 atoms:
1 In 0.0000 0.0000 0.0000  4 In 3.13, 4 Cu 3.13
2 In 0.2500 0.2500 0.2500  4 In 3.13, 4 Sb 3.13
3 Cu 0.7500 0.7500 0.7500  4 Sb 3.13, 4 In 3.13
4 Sb 0.5000 0.5000 0.5000  4 Cu 3.13, 4 In 3.13

***

(3)
VASP calculation (PBE) on crystalline Sr8In4Cu3Sb5 at its relaxed geometry.

Values from the calculation:
Total DFT energy (no corrections) = -3.224 eV per atom
Space group = Immm, No. 71

Unit cell a=12.5959 b=12.5959 c=12.5959 alpha=157.99 beta=109.93 gamma=74.46
With the nearest neighbours (Å) after each atom.
Fractional coordinates of all 20 atoms:
1 Sr 0.0638 0.1936 0.8702  3 Sb 3.23-3.28
2 Sr 0.2194 0.4042 0.8152  3 Sb 3.18-3.29
3 Sr 0.3234 0.1936 0.1298  3 Sb 3.23-3.28
4 Sr 0.4109 0.5958 0.8152  3 Sb 3.18-3.29
5 Sr 0.5891 0.4042 0.1848  3 Sb 3.18-3.29
6 Sr 0.6766 0.8064 0.8702  3 Sb 3.23-3.28
7 Sr 0.7806 0.5958 0.1848  3 Sb 3.18-3.29
8 Sr 0.9362 0.8064 0.1298  3 Sb 3.23-3.28
9 In 0.0784 0.5784 0.5000  5 In 3.15-3.31
10 In 0.1136 0.0000 0.1136  5 In 3.29-3.31
11 In 0.8864 0.0000 0.8864  5 In 3.29-3.31
12 In 0.9216 0.4216 0.5000  5 In 3.15-3.31
13 Cu 0.3746 0.8746 0.5000  1 Cu 2.52, 2 Sb 2.56
14 Cu 0.5000 0.0000 0.5000  2 Sb 2.40, 2 Cu 2.52
15 Cu 0.6254 0.1254 0.5000  1 Cu 2.52, 2 Sb 2.56
16 Sb 0.1569 0.8039 0.3530  1 Cu 2.56
17 Sb 0.4510 0.8039 0.6470  1 Cu 2.56
18 Sb 0.5000 0.5000 0.0000  2 Cu 2.40
19 Sb 0.5490 0.1961 0.3530  1 Cu 2.56
20 Sb 0.8431 0.1961 0.6470  1 Cu 2.56

***

(4)
VASP calculation (PBE) on crystalline Sc2InCu2 at its relaxed geometry.

Values from the calculation:
Total DFT energy (no corrections) = -4.943 eV per atom
Space group = P4/mbm, No. 127

Unit cell a=7.2408 b=7.2408 c=3.4446 alpha=90.00 beta=90.00 gamma=90.00
With the nearest neighbours (Å) after each atom.
Fractional coordinates of all 10 atoms:
1 Sc 0.1684 0.3316 0.0000  6 Cu 2.74
2 Sc 0.3316 0.8316 0.0000  6 Cu 2.74
3 Sc 0.6684 0.1684 0.0000  6 Cu 2.74
4 Sc 0.8316 0.6684 0.0000  6 Cu 2.74
5 In 0.0000 0.0000 0.5000  4 Cu 2.87, 8 Sc 3.20
6 In 0.5000 0.5000 0.5000  4 Cu 2.87, 8 Sc 3.20
7 Cu 0.1234 0.6234 0.5000  1 Cu 2.53, 6 Sc 2.74
8 Cu 0.3766 0.1234 0.5000  1 Cu 2.53, 6 Sc 2.74
9 Cu 0.6234 0.8766 0.5000  1 Cu 2.53, 6 Sc 2.74
10 Cu 0.8766 0.3766 0.5000  1 Cu 2.53, 6 Sc 2.74

***

(5)
VASP calculation (PBE) on crystalline Sc5In4Cu2 at its relaxed geometry.

Values from the calculation:
Total DFT energy (no corrections) = -4.967 eV per atom
Space group = Pnma, No. 62

Unit cell a=17.2856 b=6.7995 c=7.6531 alpha=90.00 beta=90.00 gamma=90.00
With the nearest neighbours (Å) after each atom.
Fractional coordinates of all 44 atoms:
1 Sc 0.0011 0.2500 0.0002  8 In 3.05-3.19, 4 Sc 3.15-3.40
2 Sc 0.0776 0.7500 0.3714  2 Cu 2.66
3 Sc 0.0838 0.2500 0.3794  2 Cu 2.77, 4 In 3.05-3.09
4 Sc 0.2169 0.2500 0.7474  4 Cu 2.74-2.86
5 Sc 0.2214 0.7500 0.7667  4 Cu 2.79-2.81
6 Sc 0.2786 0.2500 0.2667  4 Cu 2.79-2.81
7 Sc 0.2831 0.7500 0.2474  4 Cu 2.74-2.86
8 Sc 0.4162 0.7500 0.8794  2 Cu 2.77, 4 In 3.05-3.09
9 Sc 0.4224 0.2500 0.8714  2 Cu 2.66
10 Sc 0.4989 0.7500 0.5002  8 In 3.05-3.19, 4 Sc 3.15-3.40
11 Sc 0.5011 0.2500 0.4998  8 In 3.05-3.19, 4 Sc 3.15-3.40
12 Sc 0.5776 0.7500 0.1286  2 Cu 2.66
13 Sc 0.5838 0.2500 0.1206  2 Cu 2.77, 4 In 3.05-3.09
14 Sc 0.7169 0.2500 0.7526  4 Cu 2.74-2.86
15 Sc 0.7214 0.7500 0.7333  4 Cu 2.79-2.81
16 Sc 0.7786 0.2500 0.2333  4 Cu 2.79-2.81
17 Sc 0.7831 0.7500 0.2526  4 Cu 2.74-2.86
18 Sc 0.9162 0.7500 0.6206  2 Cu 2.77, 4 In 3.05-3.09
19 Sc 0.9224 0.2500 0.6286  2 Cu 2.66
20 Sc 0.9989 0.7500 0.9998  8 In 3.05-3.19, 4 Sc 3.15-3.40
21 In 0.0685 0.5061 0.7046  1 Cu 2.85, 8 Sc 3.05-3.18
22 In 0.0685 0.9939 0.7046  1 Cu 2.85, 8 Sc 3.05-3.18
23 In 0.1510 0.0005 0.0788  2 Cu 2.78-3.08, 2 Sc 3.09
24 In 0.1510 0.4995 0.0788  2 Cu 2.78-3.08, 2 Sc 3.09
25 In 0.3490 0.5005 0.5788  2 Cu 2.78-3.08, 2 Sc 3.09
26 In 0.3490 0.9995 0.5788  2 Cu 2.78-3.08, 2 Sc 3.09
27 In 0.4315 0.0061 0.2046  1 Cu 2.85, 8 Sc 3.05-3.18
28 In 0.4315 0.4939 0.2046  1 Cu 2.85, 8 Sc 3.05-3.18
29 In 0.5685 0.5061 0.7954  1 Cu 2.85, 8 Sc 3.05-3.18
30 In 0.5685 0.9939 0.7954  1 Cu 2.85, 8 Sc 3.05-3.18
31 In 0.6510 0.0005 0.4212  2 Cu 2.78-3.08, 2 Sc 3.09
32 In 0.6510 0.4995 0.4212  2 Cu 2.78-3.08, 2 Sc 3.09
33 In 0.8490 0.5005 0.9212  2 Cu 2.78-3.08, 2 Sc 3.09
34 In 0.8490 0.9995 0.9212  2 Cu 2.78-3.08, 2 Sc 3.09
35 In 0.9315 0.0061 0.2954  1 Cu 2.85, 8 Sc 3.05-3.18
36 In 0.9315 0.4939 0.2954  1 Cu 2.85, 8 Sc 3.05-3.18
37 Cu 0.1958 0.5232 0.4681  6 Sc 2.66-2.86, 2 In 2.78-2.85
38 Cu 0.1958 0.9768 0.4681  6 Sc 2.66-2.86, 2 In 2.78-2.85
39 Cu 0.3042 0.0232 0.9681  6 Sc 2.66-2.86, 2 In 2.78-2.85
40 Cu 0.3042 0.4768 0.9681  6 Sc 2.66-2.86, 2 In 2.78-2.85
41 Cu 0.6958 0.5232 0.0319  6 Sc 2.66-2.86, 2 In 2.78-2.85
42 Cu 0.6958 0.9768 0.0319  6 Sc 2.66-2.86, 2 In 2.78-2.85
43 Cu 0.8042 0.0232 0.5319  6 Sc 2.66-2.86, 2 In 2.78-2.85
44 Cu 0.8042 0.4768 0.5319  6 Sc 2.66-2.86, 2 In 2.78-2.85

***

(6)
VASP calculation (PBE) on crystalline Sc4InCuSe8 at its relaxed geometry.

Values from the calculation:
Total DFT energy (no corrections) = -5.594 eV per atom
Space group = F-43m, No. 216

Unit cell a=7.8845 b=7.8845 c=7.8845 alpha=60.00 beta=60.00 gamma=60.00
With the nearest neighbours (Å) after each atom.
Fractional coordinates of all 14 atoms:
1 Sc 0.3821 0.3821 0.3821  6 Se 2.68-2.76
2 Sc 0.3821 0.3821 0.8537  6 Se 2.68-2.76
3 Sc 0.3821 0.8537 0.3821  6 Se 2.68-2.76
4 Sc 0.8537 0.3821 0.3821  6 Se 2.68-2.76
5 In 0.0000 0.0000 0.0000  4 Se 2.62
6 Cu 0.7500 0.7500 0.7500  4 Se 2.47
7 Se 0.1336 0.6221 0.6221  1 Cu 2.47, 3 Sc 2.68
8 Se 0.1356 0.1356 0.1356  1 In 2.62, 3 Sc 2.76
9 Se 0.1356 0.1356 0.5933  1 In 2.62, 3 Sc 2.76
10 Se 0.1356 0.5933 0.1356  1 In 2.62, 3 Sc 2.76
11 Se 0.5933 0.1356 0.1356  1 In 2.62, 3 Sc 2.76
12 Se 0.6221 0.1336 0.6221  1 Cu 2.47, 3 Sc 2.68
13 Se 0.6221 0.6221 0.1336  1 Cu 2.47, 3 Sc 2.68
14 Se 0.6221 0.6221 0.6221  1 Cu 2.47, 3 Sc 2.68

***

(7)
VASP calculation (PBE) on crystalline ScTaInCu at its relaxed geometry.

Values from the calculation:
Offset from the most stable computed form = 0.00 eV/f.u.
Space group = F-43m, No. 216

Unit cell a=4.8155 b=4.8155 c=4.8155 alpha=60.00 beta=60.00 gamma=60.00
With the nearest neighbours (Å) after each atom.
Fractional coordinates of all 4 atoms:
1 Sc 0.0000 0.0000 0.0000  4 Ta 2.95, 4 Cu 2.95
2 Ta 0.2500 0.2500 0.2500  4 In 2.95, 4 Sc 2.95
3 In 0.5000 0.5000 0.5000  4 Cu 2.95, 4 Ta 2.95
4 Cu 0.7500 0.7500 0.7500  4 Sc 2.95, 4 In 2.95

***

(8)
VASP calculation (PBE) on crystalline ScInCuTc at its relaxed geometry.

Values from the calculation:
Offset from the most stable computed form = 0.84 eV/f.u.
Space group = F-43m, No. 216

Unit cell a=4.5986 b=4.5986 c=4.5986 alpha=60.00 beta=60.00 gamma=60.00
With the nearest neighbours (Å) after each atom.
Fractional coordinates of all 4 atoms:
1 Sc 0.0000 0.0000 0.0000  4 In 2.82, 4 Tc 2.82
2 In 0.7500 0.7500 0.7500  4 Sc 2.82, 4 Cu 2.82
3 Cu 0.5000 0.5000 0.5000  4 In 2.82, 4 Tc 2.82
4 Tc 0.2500 0.2500 0.2500  4 Cu 2.82, 4 Sc 2.82

***

(9)
VASP calculation (PBE) on crystalline ScInCuTc at its relaxed geometry.

Values from the calculation:
Offset from the most stable computed form = 0.00 eV/f.u.
Space group = F-43m, No. 216

Unit cell a=4.5900 b=4.5900 c=4.5900 alpha=60.00 beta=60.00 gamma=60.00
With the nearest neighbours (Å) after each atom.
Fractional coordinates of all 4 atoms:
1 Sc 0.0000 0.0000 0.0000  4 Tc 2.81, 4 Cu 2.81
2 In 0.5000 0.5000 0.5000  4 Cu 2.81, 4 Tc 2.81
3 Cu 0.7500 0.7500 0.7500  4 In 2.81, 4 Sc 2.81
4 Tc 0.2500 0.2500 0.2500  4 In 2.81, 4 Sc 2.81